Record 1
Compound: AlInSe2
Source: the Alexandria database
Functional: GGA-PBE
Structure: optimized geometry

Lattice parameters (Å, degrees): 3.0869 5.2707 5.4903 90.00 100.56 90.00
Closest atoms and distances in Å follow each position.
Space group P2/m (No. 10)
Asymmetric unit:
Al 0.0000 0.0000 0.0000 x1  2 In 2.89, 4 Se 3.05, 2 Al 3.09
In 0.5000 0.0000 0.5000 x1  2 Al 2.89, 2 In 3.09, 4 Se 3.22
Se 0.2092 0.5000 0.7659 x2  5 Se 2.85-3.09, 2 Al 3.05

Results
- calculated density (g cm⁻³) = 5.7
- crystal system = monoclinic
- energy (eV per atom) = -3.220
- formation energy without anion corrections (eV per atom) = 0.1424

---

Record 2
Compound: AlInSe2
Source: the Alexandria database
Functional: GGA-PBE
Structure: optimized geometry

Lattice parameters (Å, degrees): 3.9529 6.7421 9.0363 103.92 90.15 107.01
Closest atoms and distances in Å follow each position.
Space group P1 (No. 1)
Asymmetric unit:
Al 0.0000 0.0000 0.0000 x1  4 Se 2.37-2.52
Al 0.2408 0.4809 0.7662 x1  4 Se 2.38-2.45
In 0.5227 0.0366 0.4595 x1  5 Se 3.11-3.37
In 0.7932 0.5859 0.2856 x1  3 Se 2.96-3.13
Se 0.0644 0.1136 0.7705 x1  2 Al 2.37-2.38
Se 0.1178 0.2337 0.2489 x1  1 Al 2.37
Se 0.3813 0.7612 0.0062 x1  3 Al 2.45-2.52
Se 0.7615 0.5238 0.6180 x1  2 Al 2.44

Results
- calculated density (g cm⁻³) = 4.5
- crystal system = triclinic
- energy (eV per atom) = -3.988
- formation energy without anion corrections (eV per atom) = -0.6259

---

Record 3
Compound: AlInSe2
Source: the Alexandria database
Functional: GGA-PBE
Structure: optimized geometry

Lattice parameters (Å, degrees): 3.5526 5.1361 11.5378 90.00 90.00 90.00
Closest atoms and distances in Å follow each position.
Space group Immm (No. 71)
Asymmetric unit:
Al 0.0000 0.0000 0.0000 x2  4 Se 2.48
In 0.0000 0.0000 0.5000 x2  4 Se 3.10, 4 Al 3.12
Se 0.0000 0.5000 0.3498 x4  2 Al 2.48

Results
- calculated density (g cm⁻³) = 4.7
- crystal system = orthorhombic
- energy (eV per atom) = -3.701
- formation energy without anion corrections (eV per atom) = -0.3390

---

Record 4
Compound: AlInSe4
Source: the Alexandria database
Functional: GGA-PBE
Structure: optimized geometry

Lattice parameters (Å, degrees): 8.3252 8.3252 8.3252 90.00 90.00 90.00
Closest atoms and distances in Å follow each position.
Space group F-43m (No. 216)
Asymmetric unit:
Al 0.0000 0.0000 0.0000 x4  12 Se 3.45, 4 In 3.60
In 0.2500 0.2500 0.7500 x4  12 Se 3.45, 4 Al 3.60
Se 0.1254 0.1254 0.3746 x16  6 Se 2.93-2.95

Results
- calculated density (g cm⁻³) = 5.3
- crystal system = cubic
- energy (eV per atom) = -3.089
- formation energy without anion corrections (eV per atom) = 0.3144

---

Record 5
Compound: AlInSe2
Source: the Alexandria database
Functional: GGA-PBE
Structure: optimized geometry

Lattice parameters (Å, degrees): 7.1043 7.1043 7.1043 90.00 90.00 90.00
Closest atoms and distances in Å follow each position.
Space group F-43m (No. 216)
Asymmetric unit:
Al 0.0000 0.0000 0.0000 x4  4 Se 3.08, 4 In 3.08
In 0.2500 0.2500 0.2500 x4  4 Al 3.08, 4 Se 3.08
Se 0.0000 0.0000 0.5000 x4  4 In 3.08, 4 Se 3.08
Se 0.2500 0.2500 0.7500 x4  4 Se 3.08, 4 Al 3.08

Results
- calculated density (g cm⁻³) = 5.6
- crystal system = cubic
- energy (eV per atom) = -3.139
- formation energy without anion corrections (eV per atom) = 0.2238

---

Record 6
Compound: AlInSe2
Source: the Alexandria database
Functional: GGA-PBE
Structure: optimized geometry

Lattice parameters (Å, degrees): 14.7724 3.5543 4.5234 90.00 98.23 90.00
Closest atoms and distances in Å follow each position.
Space group Cm (No. 8)
Asymmetric unit:
Al 0.0000 0.0000 0.0000 x2  4 Se 2.44-2.48
In 0.2330 0.0000 0.5111 x2  6 Se 3.22-3.44, 2 In 3.55
Se 0.1128 0.5000 0.9332 x2  2 Al 2.48
Se 0.3924 0.0000 0.0763 x2  2 Al 2.44

Results
- calculated density (g cm⁻³) = 4.2
- crystal system = monoclinic
- energy (eV per atom) = -3.772
- formation energy without anion corrections (eV per atom) = -0.4093

---

Record 7
Compound: AlInSe2
Source: the Alexandria database
Functional: GGA-PBE
Structure: optimized geometry

Lattice parameters (Å, degrees): 3.7862 5.8470 9.5533 90.00 90.00 90.00
Closest atoms and distances in Å follow each position.
Space group Cmm2 (No. 35)
Asymmetric unit:
Al 0.0000 0.0000 0.0000 x2  2 Se 2.41
In 0.0000 0.5000 0.7442 x2  2 Se 2.69
Se 0.0000 0.0000 0.5435 x2  2 In 2.69
Se 0.0000 0.5000 0.1563 x2  2 Al 2.41

Results
- calculated density (g cm⁻³) = 4.7
- crystal system = orthorhombic
- energy (eV per atom) = -3.430
- formation energy without anion corrections (eV per atom) = -0.0671

---

Record 8
Compound: AlInSe2
Source: the Alexandria database
Functional: GGA-PBE
Structure: optimized geometry

Lattice parameters (Å, degrees): 3.9554 3.9554 24.5827 90.00 90.00 120.00
Closest atoms and distances in Å follow each position.
Space group R-3m (No. 166, hexagonal axes)
Asymmetric unit:
Al 0.0000 0.0000 0.0000 x3  2 Se 2.52
In 0.0000 0.0000 0.5000 x3  6 Se 2.78
Se 0.0000 0.0000 0.1025 x6  1 Al 2.52, 3 In 2.78

Results
- calculated density (g cm⁻³) = 4.5
- crystal system = trigonal
- energy (eV per atom) = -3.447
- formation energy without anion corrections (eV per atom) = -0.0847

---

Among the records above, which one has the highest calculated density?
number 1